No. 1
The following is a DFT calculation (PBE-GGA) of a geometry-optimized Pm2Cu2Pd structure.

Cell lengths 4.150, 5.647, 10.192 Å; angles 88.33, 78.25, 68.44 degrees
Fractional coordinates of all 10 atoms:
1 Pm 0.682 0.289 0.348
2 Pm 0.921 0.275 0.884
3 Pm 0.318 0.711 0.652
4 Pm 0.079 0.725 0.116
5 Cu 0.069 0.300 0.562
6 Cu 0.629 0.850 0.892
7 Cu 0.931 0.700 0.438
8 Cu 0.371 0.150 0.108
9 Pd 0.605 0.116 0.674
10 Pd 0.395 0.884 0.326

Computed properties:
Raw total energy   -5.00 eV per atom
Space-group type   C2/m
M_tot   0.00 μB/f.u.
Energy above the lowest structure with this stoichiometry   0 kJ/mol of formula units

---

No. 2
The following is a DFT calculation (PBE-GGA) of a geometry-optimized Zr2Cd3 structure.

Cell lengths 3.172, 3.172, 11.008 Å; angles 98.28, 98.28, 90.00 degrees
Fractional coordinates of all 5 atoms:
1 Zr 0.900 0.900 0.799
2 Zr 0.100 0.100 0.201
3 Cd 0.701 0.701 0.402
4 Cd 0.299 0.299 0.598
5 Cd 0.500 0.500 0.000

Computed properties:
Raw total energy   -4.07 eV per atom
Space-group type   I4/mmm
M_tot   0.52 μB/f.u.
Energy above the lowest structure with this stoichiometry   0 kJ/mol of formula units

---

No. 3
The following is a DFT calculation (PBE-GGA) of a geometry-optimized Tb6Y2HoTm structure.

Cell lengths 9.498, 8.786, 8.786 Å; angles 117.70, 93.63, 93.63 degrees
Fractional coordinates of all 20 atoms:
1 Tb 0.056 0.124 0.755
2 Tb 0.444 0.245 0.876
3 Tb 0.944 0.876 0.245
4 Tb 0.556 0.755 0.124
5 Tb 0.313 0.984 0.432
6 Tb 0.187 0.568 0.016
7 Tb 0.687 0.016 0.568
8 Tb 0.813 0.432 0.984
9 Tb 0.119 0.709 0.492
10 Tb 0.381 0.508 0.291
11 Tb 0.881 0.291 0.508
12 Tb 0.619 0.492 0.709
13 Y 0.455 0.800 0.698
14 Y 0.045 0.302 0.200
15 Y 0.545 0.200 0.302
16 Y 0.955 0.698 0.800
17 Ho 0.250 0.975 0.025
18 Ho 0.750 0.025 0.975
19 Tm 0.250 0.410 0.590
20 Tm 0.750 0.590 0.410

Computed properties:
Raw total energy   -4.85 eV per atom
Space-group type   C2/c
M_tot   0.00 μB/f.u.

---

No. 4
The following is a DFT calculation (PBE-GGA) of a geometry-optimized WSe2Cl structure.

Cell lengths 12.282, 12.282, 12.282 Å; angles 13.33, 13.33, 13.33 degrees
Fractional coordinates of all 4 atoms:
1 Se 0.929 0.929 0.929
2 Se 0.071 0.071 0.071
3 W 0.000 0.000 0.000
4 Cl 0.500 0.500 0.500

Computed properties:
Raw total energy   -4.90 eV per atom
Formation energy from raw total energies   209 kJ/mol of formula units
Space-group type   R-3m
M_tot   0.00 μB/f.u.
Energy above the lowest structure with this stoichiometry   334 kJ/mol of formula units

---

No. 5
The following is a DFT calculation (PBE-GGA) of a geometry-optimized Cs2Tl6BiPd structure.

Cell lengths 8.761, 8.761, 13.481 Å; angles 71.04, 71.04, 60.00 degrees
Fractional coordinates of all 20 atoms:
1 Cs 0.850 0.850 0.449
2 Cs 0.150 0.150 0.551
3 Cs 0.717 0.717 0.850
4 Cs 0.283 0.283 0.150
5 Tl 0.822 0.416 0.346
6 Tl 0.416 0.822 0.346
7 Tl 0.416 0.416 0.346
8 Tl 0.178 0.584 0.654
9 Tl 0.584 0.178 0.654
10 Tl 0.584 0.584 0.654
11 Tl 0.797 0.183 0.836
12 Tl 0.183 0.797 0.836
13 Tl 0.183 0.183 0.836
14 Tl 0.203 0.817 0.164
15 Tl 0.817 0.203 0.164
16 Tl 0.817 0.817 0.164
17 Bi 0.619 0.619 0.142
18 Bi 0.381 0.381 0.858
19 Pd 0.000 0.000 0.000
20 Pd 0.500 0.500 0.500

Computed properties:
Raw total energy   -2.57 eV per atom
Space-group type   R-3m
M_tot   0.00 μB/f.u.

---

No. 6
The following is a DFT calculation (PBE-GGA) of a geometry-optimized CeAsAuO structure.

Cell lengths 4.076, 4.076, 8.679 Å; angles 90.00, 90.00, 90.00 degrees
Fractional coordinates of all 8 atoms:
1 Ce 0.500 0.000 0.640
2 Ce 0.000 0.500 0.360
3 As 0.000 0.500 0.794
4 As 0.500 0.000 0.206
5 Au 0.500 0.500 0.000
6 Au 0.000 0.000 0.000
7 O 0.000 0.000 0.500
8 O 0.500 0.500 0.500

Computed properties:
Raw total energy   -6.40 eV per atom
Formation energy from raw total energies   -656 kJ/mol of formula units
Space-group type   P4/nmm
M_tot   0.20 μB/f.u.

---

No. 7
The following is a DFT calculation (PBE-GGA) of a geometry-optimized Li2Al2Rh structure.

Cell lengths 6.723, 6.723, 3.175 Å; angles 90.00, 90.00, 90.00 degrees
Fractional coordinates of all 10 atoms:
1 Rh 0.000 0.000 0.000
2 Rh 0.500 0.500 0.000
3 Al 0.351 0.851 0.000
4 Al 0.851 0.649 0.000
5 Al 0.649 0.149 0.000
6 Al 0.149 0.351 0.000
7 Li 0.156 0.656 0.500
8 Li 0.656 0.844 0.500
9 Li 0.844 0.344 0.500
10 Li 0.344 0.156 0.500

Computed properties:
Raw total energy   -3.93 eV per atom
Space-group type   P4/mbm
M_tot   0.00 μB/f.u.

---

No. 8
The following is a DFT calculation (PBE-GGA) of a geometry-optimized SrLiAs structure.

Cell lengths 5.204, 5.203, 4.276 Å; angles 65.75, 65.73, 48.52 degrees
Fractional coordinates of all 3 atoms:
1 As 0.981 0.981 0.019
2 Li 0.676 0.676 0.324
3 Sr 0.343 0.343 0.657

Computed properties:
Raw total energy   -3.41 eV per atom
Space-group type   I4mm
M_tot   0.00 μB/f.u.

---

> raw total energy of number 2 (Zr2Cd3)?

-4.07 eV per atom